Record 1
Zr2Ga2O5 | PBE | optimized geometry

a = 6.1854 Å, b = 3.9697 Å, c = 3.9697 Å
α = 90.00°, β = 90.00°, γ = 90.00°
Sites, in units of the cell vectors:
1 Ga 0.1978 0.5000 0.5000
2 Ga 0.8022 0.5000 0.5000
3 O 0.2374 0.5000 0.0000
4 O 0.7626 0.5000 0.0000
5 O 0.2374 0.0000 0.5000
6 O 0.7626 0.0000 0.5000
7 O 0.5000 0.5000 0.5000
8 Zr 0.0000 0.0000 0.0000
9 Zr 0.5000 0.0000 0.0000

Computed properties:
DFT total energy = -62.9 eV for the cell shown

=====

Record 2
Hf4SnBiC2 | PBE | optimized geometry

a = 3.3858 Å, b = 3.3858 Å, c = 14.4556 Å
α = 90.00°, β = 90.00°, γ = 120.00°
Sites, in units of the cell vectors:
1 Bi 0.0000 0.0000 0.0000
2 C 0.3333 0.6667 0.2506
3 C 0.3333 0.6667 0.7494
4 Hf 0.6667 0.3333 0.1686
5 Hf 0.0000 0.0000 0.3340
6 Hf 0.0000 0.0000 0.6660
7 Hf 0.6667 0.3333 0.8314
8 Sn 0.6667 0.3333 0.5000

Computed properties:
DFT total energy = -71.7 eV for the cell shown